Record 1
VASP calculation (PBE-GGA) on an optimized crystal structure of Cr4Fe.

Results
- formation energy (meV per atom) = 49
- spin magnetization (μB per formula unit) = 2.10
- VASP energy (eV/f.u.) = -46.711

a b c (Å): 6.2230 6.2230 2.4312
angles (deg): 97.36 97.36 37.87
Last column: nearest neighbours and their distance in Å.
Element x y z (fractional)
Cr 0.1015 0.1015 0.4138  6 Cr 2.43-2.48, 2 Fe 2.49
Cr 0.3004 0.3004 0.2067  7 Cr 2.43-2.48, 1 Fe 2.47
Cr 0.6996 0.6996 0.7933  7 Cr 2.43-2.48, 1 Fe 2.47
Cr 0.8985 0.8985 0.5862  6 Cr 2.43-2.48, 2 Fe 2.49
Fe 0.5000 0.5000 0.0000  2 Fe 2.43, 6 Cr 2.47-2.49

Record 2
VASP calculation (PBE-GGA) on an optimized crystal structure of Pm3NdOs.

Results
- formation energy (meV per atom) = 4
- spin magnetization (μB per formula unit) = 0.00
- VASP energy (eV/f.u.) = -30.227

a b c (Å): 7.8654 6.6211 6.4495
angles (deg): 90.00 90.00 90.00
Last column: nearest neighbours and their distance in Å.
Element x y z (fractional)
Pm 0.0000 0.1613 0.0000  1 Os 2.77
Pm 0.2502 0.3213 0.5037  2 Os 2.80
Pm 0.2498 0.6787 0.0037  2 Os 2.80
Pm 0.5000 0.8387 0.5000  1 Os 2.77
Pm 0.7498 0.3213 0.5037  2 Os 2.80
Pm 0.7502 0.6787 0.0037  2 Os 2.80
Nd 0.0000 0.8410 0.5077  1 Os 2.79
Nd 0.5000 0.1590 0.0077  1 Os 2.79
Os 0.0000 0.4993 0.2535  5 Pm 2.77-2.80, 1 Nd 2.79
Os 0.5000 0.5007 0.7535  5 Pm 2.77-2.80, 1 Nd 2.79

Record 3
VASP calculation (PBE-GGA) on an optimized crystal structure of PaSnIr.

Results
- formation energy (meV per atom) = -649
- spin magnetization (μB per formula unit) = 0.00
- VASP energy (eV/f.u.) = -24.306

a b c (Å): 13.5729 3.9026 7.4448
angles (deg): 90.00 90.00 90.00
Last column: nearest neighbours and their distance in Å.
Element x y z (fractional)
Pa 0.0485 0.0000 0.2252  5 Ir 2.99-3.17, 2 Sn 3.26
Pa 0.2500 0.0000 0.8333  5 Ir 2.93, 2 Sn 3.24
Pa 0.4515 0.0000 0.2252  5 Ir 2.99-3.17, 2 Sn 3.26
Pa 0.5485 0.0000 0.7748  5 Ir 2.99-3.17, 2 Sn 3.26
Pa 0.7500 0.0000 0.1667  5 Ir 2.93, 2 Sn 3.24
Pa 0.9515 0.0000 0.7748  5 Ir 2.99-3.17, 2 Sn 3.26
Sn 0.1183 0.5000 0.5523  3 Ir 2.77-2.79
Sn 0.2500 0.5000 0.1815  4 Ir 2.74-2.82
Sn 0.3817 0.5000 0.5523  3 Ir 2.77-2.79
Sn 0.6183 0.5000 0.4477  3 Ir 2.77-2.79
Sn 0.7500 0.5000 0.8185  4 Ir 2.74-2.82
Sn 0.8817 0.5000 0.4477  3 Ir 2.77-2.79
Ir 0.0968 0.5000 0.9248  2 Sn 2.79-2.82, 1 Ir 2.86, 6 Pa 2.93-3.04
Ir 0.2500 0.0000 0.4402  6 Sn 2.74-2.77, 1 Pa 2.93
Ir 0.4032 0.5000 0.9248  2 Sn 2.79-2.82, 1 Ir 2.86, 6 Pa 2.93-3.04
Ir 0.5968 0.5000 0.0752  2 Sn 2.79-2.82, 1 Ir 2.86, 6 Pa 2.93-3.04
Ir 0.7500 0.0000 0.5598  6 Sn 2.74-2.77, 1 Pa 2.93
Ir 0.9032 0.5000 0.0752  2 Sn 2.79-2.82, 1 Ir 2.86, 6 Pa 2.93-3.04

Record 4
VASP calculation (PBE-GGA) on an optimized crystal structure of PmMgAg3.

Results
- formation energy (meV per atom) = -124
- spin magnetization (μB per formula unit) = 0.00
- VASP energy (eV/f.u.) = -15.518

a b c (Å): 6.9659 6.9659 6.9659
angles (deg): 131.81 111.88 87.75
Last column: nearest neighbours and their distance in Å.
Element x y z (fractional)
Pm 0.2574 0.0074 0.2500  7 Ag 3.09-3.36, 4 Mg 3.45
Pm 0.7426 0.9926 0.7500  7 Ag 3.09-3.36, 4 Mg 3.45
Mg 0.0000 0.5000 0.5000  6 Ag 2.70-2.93
Mg 0.5000 0.5000 0.0000  6 Ag 2.70-2.93
Ag 0.1860 0.0000 0.6860  5 Ag 2.84-2.91, 2 Mg 2.93
Ag 0.1860 0.5000 0.1860  5 Ag 2.84-2.91, 2 Mg 2.93
Ag 0.4354 0.6854 0.7500  2 Mg 2.70, 4 Ag 2.91
Ag 0.5646 0.3146 0.2500  2 Mg 2.70, 4 Ag 2.91
Ag 0.8140 0.0000 0.3140  5 Ag 2.84-2.91, 2 Mg 2.93
Ag 0.8140 0.5000 0.8140  5 Ag 2.84-2.91, 2 Mg 2.93

Record 5
VASP calculation (PBE-GGA) on an optimized crystal structure of La2Tb3NdTm6.

Results
- formation energy (meV per atom) = 23
- spin magnetization (μB per formula unit) = 0.00
- VASP energy (eV/f.u.) = -55.062

a b c (Å): 6.1903 6.1903 11.7178
angles (deg): 95.04 95.04 119.97
Last column: nearest neighbours and their distance in Å.
Element x y z (fractional)
La 0.1666 0.8334 0.0000  3 La 3.57-3.58, 3 Nd 3.57, 6 Tm 3.59
La 0.8334 0.1666 0.0000  3 La 3.57-3.58, 3 Nd 3.57, 6 Tm 3.59
Tb 0.0000 0.0000 0.5000  6 Tm 3.50-3.51, 6 Tb 3.57
Tb 0.3334 0.6666 0.5000  6 Tm 3.50-3.51, 6 Tb 3.57-3.58
Tb 0.6666 0.3334 0.5000  6 Tm 3.50-3.51, 6 Tb 3.57-3.58
Nd 0.5000 0.5000 0.0000  6 La 3.57, 6 Tm 3.58-3.59
Tm 0.0816 0.4145 0.7455  3 Tb 3.50-3.51, 6 Tm 3.57-3.58, 2 La 3.59, 1 Nd 3.59
Tm 0.2528 0.2528 0.2545  3 Tb 3.50-3.51, 6 Tm 3.57-3.58, 1 Nd 3.58, 2 La 3.59
Tm 0.4145 0.0816 0.7455  3 Tb 3.50-3.51, 6 Tm 3.57-3.58, 2 La 3.59, 1 Nd 3.59
Tm 0.5855 0.9184 0.2545  3 Tb 3.50-3.51, 6 Tm 3.57-3.58, 2 La 3.59, 1 Nd 3.59
Tm 0.7472 0.7472 0.7455  3 Tb 3.50-3.51, 6 Tm 3.57-3.58, 1 Nd 3.58, 2 La 3.59
Tm 0.9184 0.5855 0.2545  3 Tb 3.50-3.51, 6 Tm 3.57-3.58, 2 La 3.59, 1 Nd 3.59

Record 6
VASP calculation (PBE-GGA) on an optimized crystal structure of TmAg4Hg2.

Results
- formation energy (meV per atom) = -50
- spin magnetization (μB per formula unit) = 0.00
- VASP energy (eV/f.u.) = -16.830

a b c (Å): 5.8203 5.8203 5.8203
angles (deg): 103.46 103.46 122.30
Last column: nearest neighbours and their distance in Å.
Element x y z (fractional)
Tm 0.0000 0.0000 0.0000  12 Ag 3.12-3.44
Ag 0.3056 0.3056 0.6112  4 Ag 2.80-3.03, 4 Hg 2.96, 1 Tm 3.12
Ag 0.3056 0.6944 0.0000  4 Ag 2.80-3.03, 4 Hg 2.96, 1 Tm 3.12
Ag 0.6944 0.3056 0.0000  4 Ag 2.80-3.03, 4 Hg 2.96, 1 Tm 3.12
Ag 0.6944 0.6944 0.3888  4 Ag 2.80-3.03, 4 Hg 2.96, 1 Tm 3.12
Hg 0.2500 0.7500 0.5000  2 Hg 2.81, 8 Ag 2.96
Hg 0.7500 0.2500 0.5000  2 Hg 2.81, 8 Ag 2.96

Record 7
VASP calculation (PBE-GGA) on an optimized crystal structure of CuPt.

Results
- formation energy (meV per atom) = -116
- spin magnetization (μB per formula unit) = 0.00
- VASP energy (eV/f.u.) = -10.370

a b c (Å): 8.0781 2.7337 8.1000
angles (deg): 90.00 109.68 90.00
Last column: nearest neighbours and their distance in Å.
Element x y z (fractional)
Cu 0.0000 0.0000 0.0000  9 Cu 2.52-2.73, 3 Pt 2.67-2.69
Cu 0.0745 0.5000 0.7524  4 Pt 2.55-2.73, 8 Cu 2.64-2.73
Cu 0.2299 0.5000 0.2383  7 Cu 2.57-2.73, 5 Pt 2.73-2.74
Cu 0.3118 0.0000 0.9988  7 Cu 2.52-2.73, 4 Pt 2.69-2.71
Cu 0.8230 0.0000 0.4954  6 Pt 2.58-2.73, 6 Cu 2.72-2.73
Cu 0.9095 0.5000 0.2450  5 Pt 2.60-2.74, 7 Cu 2.61-2.73
Pt 0.1399 0.0000 0.4892  7 Cu 2.58-2.74, 5 Pt 2.73-2.78
Pt 0.3958 0.5000 0.7521  3 Cu 2.60-2.69, 8 Pt 2.73-2.80
Pt 0.4840 0.0000 0.4910  9 Pt 2.70-2.83, 3 Cu 2.73
Pt 0.5699 0.5000 0.2433  6 Pt 2.70-2.73, 6 Cu 2.71-2.74
Pt 0.6683 0.0000 0.0031  4 Cu 2.63-2.87, 8 Pt 2.71-2.80
Pt 0.7579 0.5000 0.7497  5 Cu 2.55-2.67, 6 Pt 2.73-2.83

Record 8
VASP calculation (PBE-GGA) on an optimized crystal structure of Rb2SmAlTe4.

Results
- spin magnetization (μB per formula unit) = 0.00
- E_form (uncorrected) (eV/atom) = -0.904
- VASP energy (eV/f.u.) = -30.197

a b c (Å): 9.3706 9.3706 9.3706
angles (deg): 122.23 118.43 89.46
Last column: nearest neighbours and their distance in Å.
Element x y z (fractional)
Rb 0.0000 0.0000 0.0000  6 Te 3.46-3.51
Rb 0.5000 0.0000 0.0000  6 Te 3.67-3.69
Rb 0.5000 0.0000 0.5000  6 Te 3.46-3.51
Rb 0.5000 0.5000 0.5000  6 Te 3.67-3.69
Sm 0.0000 0.5000 0.5000  6 Te 3.17-3.22
Sm 0.5000 0.5000 0.0000  6 Te 3.17-3.22
Al 0.0000 0.0000 0.5000  6 Te 2.95-3.00
Al 0.0000 0.5000 0.0000  6 Te 2.95-3.00
Te 0.1860 0.7389 0.4471  2 Al 2.95, 1 Sm 3.22
Te 0.2082 0.2611 0.9471  2 Al 2.95, 1 Sm 3.22
Te 0.2248 0.2480 0.5232  1 Al 3.00, 2 Sm 3.17
Te 0.2248 0.7016 0.9768  1 Al 3.00, 2 Sm 3.17
Te 0.7752 0.2984 0.0232  1 Al 3.00, 2 Sm 3.17
Te 0.7752 0.7520 0.4768  1 Al 3.00, 2 Sm 3.17
Te 0.7919 0.7389 0.0529  2 Al 2.95, 1 Sm 3.22
Te 0.8140 0.2611 0.5529  2 Al 2.95, 1 Sm 3.22

Record 9
VASP calculation (PBE-GGA) on an optimized crystal structure of KCa2MgZn.

Results
- formation energy (meV per atom) = 70
- spin magnetization (μB per formula unit) = 0.00
- VASP energy (eV/f.u.) = -7.620

a b c (Å): 5.9158 5.9158 5.3507
angles (deg): 90.00 90.00 90.00
Last column: nearest neighbours and their distance in Å.
Element x y z (fractional)
K 0.0000 0.0000 0.0000  8 Ca 3.99, 4 Mg 4.18
Ca 0.0000 0.5000 0.5000  2 Zn 2.96
Ca 0.5000 0.0000 0.5000  2 Zn 2.96
Mg 0.5000 0.5000 0.0000  2 Zn 2.68
Zn 0.5000 0.5000 0.5000  2 Mg 2.68, 4 Ca 2.96

Record 10
VASP calculation (PBE-GGA) on an optimized crystal structure of YInSe3.

Results
- spin magnetization (μB per formula unit) = 0.00
- E_form (uncorrected) (eV/atom) = -1.137
- VASP energy (eV/f.u.) = -25.341

a b c (Å): 7.5693 7.5693 7.5693
angles (deg): 56.13 56.13 56.13
Last column: nearest neighbours and their distance in Å.
Element x y z (fractional)
Y 0.1510 0.1510 0.1510  6 Se 2.84-2.90
Y 0.8490 0.8490 0.8490  6 Se 2.84-2.90
In 0.3497 0.3497 0.3497  6 Se 2.75-2.86
In 0.6503 0.6503 0.6503  6 Se 2.75-2.86
Se 0.0561 0.4461 0.7419  2 In 2.75-2.86, 2 Y 2.84-2.90
Se 0.2581 0.9439 0.5539  2 In 2.75-2.86, 2 Y 2.84-2.90
Se 0.4461 0.7419 0.0561  2 In 2.75-2.86, 2 Y 2.84-2.90
Se 0.5539 0.2581 0.9439  2 In 2.75-2.86, 2 Y 2.84-2.90
Se 0.7419 0.0561 0.4461  2 In 2.75-2.86, 2 Y 2.84-2.90
Se 0.9439 0.5539 0.2581  2 In 2.75-2.86, 2 Y 2.84-2.90

Record 11
VASP calculation (PBE-GGA) on an optimized crystal structure of Pa3Ni5Se12.

Results
- spin magnetization (μB per formula unit) = 0.00
- E_form (uncorrected) (eV/atom) = -0.755
- VASP energy (eV/f.u.) = -114.311

a b c (Å): 13.1139 13.1139 13.1139
angles (deg): 109.47 109.47 109.47
Last column: nearest neighbours and their distance in Å.
Element x y z (fractional)
Pa 0.1250 0.2500 0.3750  8 Se 2.93-2.94
Pa 0.1250 0.3750 0.7500  8 Se 2.93-2.94
Pa 0.2500 0.3750 0.1250  8 Se 2.93-2.94
Pa 0.2500 0.8750 0.6250  8 Se 2.93-2.94
Pa 0.3750 0.1250 0.2500  8 Se 2.93-2.94
Pa 0.3750 0.7500 0.1250  8 Se 2.93-2.94
Pa 0.6250 0.2500 0.8750  8 Se 2.93-2.94
Pa 0.6250 0.8750 0.7500  8 Se 2.93-2.94
Pa 0.7500 0.1250 0.3750  8 Se 2.93-2.94
Pa 0.7500 0.6250 0.8750  8 Se 2.93-2.94
Pa 0.8750 0.6250 0.2500  8 Se 2.93-2.94
Pa 0.8750 0.7500 0.6250  8 Se 2.93-2.94
Ni 0.0000 0.0000 0.0000  6 Se 2.45
Ni 0.0000 0.0000 0.5000  6 Se 2.45
Ni 0.0000 0.5000 0.0000  6 Se 2.45
Ni 0.0000 0.5000 0.5000  6 Se 2.45
Ni 0.1250 0.7500 0.8750  4 Se 2.31
Ni 0.1250 0.8750 0.2500  4 Se 2.31
Ni 0.2500 0.1250 0.8750  4 Se 2.31
Ni 0.2500 0.6250 0.3750  4 Se 2.31
Ni 0.3750 0.2500 0.6250  4 Se 2.31
Ni 0.3750 0.6250 0.7500  4 Se 2.31
Ni 0.5000 0.0000 0.0000  6 Se 2.45
Ni 0.5000 0.0000 0.5000  6 Se 2.45
Ni 0.5000 0.5000 0.0000  6 Se 2.45
Ni 0.5000 0.5000 0.5000  6 Se 2.45
Ni 0.6250 0.3750 0.2500  4 Se 2.31
Ni 0.6250 0.7500 0.3750  4 Se 2.31
Ni 0.7500 0.3750 0.6250  4 Se 2.31
Ni 0.7500 0.8750 0.1250  4 Se 2.31
Ni 0.8750 0.1250 0.7500  4 Se 2.31
Ni 0.8750 0.2500 0.1250  4 Se 2.31
Se 0.0307 0.2067 0.1195  2 Ni 2.31-2.45
Se 0.0307 0.3240 0.9112  2 Ni 2.31-2.45
Se 0.0872 0.7067 0.6760  2 Ni 2.31-2.45
Se 0.0872 0.8805 0.4112  2 Ni 2.31-2.45
Se 0.0888 0.6195 0.4128  2 Ni 2.31-2.45
Se 0.0888 0.9693 0.6760  2 Ni 2.31-2.45
Se 0.1195 0.0307 0.2067  2 Ni 2.31-2.45
Se 0.1195 0.5888 0.9128  2 Ni 2.31-2.45
Se 0.1760 0.2067 0.5872  2 Ni 2.31-2.45
Se 0.1760 0.4693 0.5888  2 Ni 2.31-2.45
Se 0.2067 0.1195 0.0307  2 Ni 2.31-2.45
Se 0.2067 0.5872 0.1760  2 Ni 2.31-2.45
Se 0.2933 0.3240 0.9128  2 Ni 2.31-2.45
Se 0.2933 0.4693 0.3805  2 Ni 2.31-2.45
Se 0.3240 0.9112 0.0307  2 Ni 2.31-2.45
Se 0.3240 0.9128 0.2933  2 Ni 2.31-2.45
Se 0.3805 0.2933 0.4693  2 Ni 2.31-2.45
Se 0.3805 0.5872 0.9112  2 Ni 2.31-2.45
Se 0.4112 0.0872 0.8805  2 Ni 2.31-2.45
Se 0.4112 0.8240 0.5307  2 Ni 2.31-2.45
Se 0.4128 0.0888 0.6195  2 Ni 2.31-2.45
Se 0.4128 0.8240 0.7933  2 Ni 2.31-2.45
Se 0.4693 0.3805 0.2933  2 Ni 2.31-2.45
Se 0.4693 0.5888 0.1760  2 Ni 2.31-2.45
Se 0.5307 0.4112 0.8240  2 Ni 2.31-2.45
Se 0.5307 0.6195 0.7067  2 Ni 2.31-2.45
Se 0.5872 0.1760 0.2067  2 Ni 2.31-2.45
Se 0.5872 0.9112 0.3805  2 Ni 2.31-2.45
Se 0.5888 0.1760 0.4693  2 Ni 2.31-2.45
Se 0.5888 0.9128 0.1195  2 Ni 2.31-2.45
Se 0.6195 0.4128 0.0888  2 Ni 2.31-2.45
Se 0.6195 0.7067 0.5307  2 Ni 2.31-2.45
Se 0.6760 0.0872 0.7067  2 Ni 2.31-2.45
Se 0.6760 0.0888 0.9693  2 Ni 2.31-2.45
Se 0.7067 0.5307 0.6195  2 Ni 2.31-2.45
Se 0.7067 0.6760 0.0872  2 Ni 2.31-2.45
Se 0.7933 0.4128 0.8240  2 Ni 2.31-2.45
Se 0.7933 0.8805 0.9693  2 Ni 2.31-2.45
Se 0.8240 0.5307 0.4112  2 Ni 2.31-2.45
Se 0.8240 0.7933 0.4128  2 Ni 2.31-2.45
Se 0.8805 0.4112 0.0872  2 Ni 2.31-2.45
Se 0.8805 0.9693 0.7933  2 Ni 2.31-2.45
Se 0.9112 0.0307 0.3240  2 Ni 2.31-2.45
Se 0.9112 0.3805 0.5872  2 Ni 2.31-2.45
Se 0.9128 0.1195 0.5888  2 Ni 2.31-2.45
Se 0.9128 0.2933 0.3240  2 Ni 2.31-2.45
Se 0.9693 0.6760 0.0888  2 Ni 2.31-2.45
Se 0.9693 0.7933 0.8805  2 Ni 2.31-2.45